A plane-wave DFT calculation with PBE-GGA was carried out for a relaxed LiCd2Ru crystal.

The structure in extended XYZ format:
```
4
Lattice="-2.7843 -0.0880 -0.4874 0.7253 -0.6962 2.6432 -0.7591 9.2992 2.6577" Properties=species:S:1:pos:R:3 pbc="T T T"
Ru -1.5875 6.4431 3.0314
Li -0.3954 4.8433 1.3842
Cd -0.7413 9.0802 2.5951
Cd -1.2327 2.0972 1.7894
```

Results
The space-group type is Cmm2, No. 35. As for the total energy: -12.12 eV per formula unit.